# 1
Compound: AgBrF2
Source: the Alexandria database
Functional: GGA-PBEsol
Structure: relaxed

Calculated density   6.6 g cm⁻³
ΔE_f (raw)   -1.31 eV per formula unit
Excess energy over the best structure of this formula in the dataset   35.9 kJ per mole of atoms
Space-group type   Fm-3m, No. 225

Cell and atoms, written as POSCAR:
```
AgBrF2
1.0
4.321 0.000 0.000
2.160 3.742 0.000
2.160 1.247 3.528
Br Ag F
1 1 2
direct
0.000 0.000 0.000 Br
0.500 0.500 0.500 Ag
0.250 0.250 0.250 F
0.750 0.750 0.750 F
```



# 2
Compound: LaYAg2
Source: the Alexandria database
Functional: GGA-PBEsol
Structure: relaxed

Calculated density   7.6 g cm⁻³
Energy relative to the elements   -0.15 eV per atom
Space-group type   Imm2, No. 44

Cell and atoms, written as POSCAR:
```
LaYAg2
1.0
-2.725 -0.361 -2.323
2.539 -3.500 -2.434
-2.107 -1.871 5.551
Ag La Y
2 1 1
direct
0.025 0.025 0.049 Ag
0.722 0.222 0.445 Ag
0.482 0.482 0.965 La
0.271 0.771 0.541 Y
```



# 3
Compound: CoSiOs2
Source: the Alexandria database
Functional: GGA-PBEsol
Structure: relaxed

Calculated density   15.1 g cm⁻³
ΔE_f (raw)   0.15 eV per formula unit
Space-group type   P2/m, No. 10

Cell and atoms, written as POSCAR:
```
CoSiOs2
1.0
-2.006 1.799 0.321
-0.291 -0.976 3.647
4.097 2.838 1.086
Co Os Si
1 2 1
direct
0.500 0.500 0.500 Co
0.129 0.000 0.755 Os
0.871 0.000 0.245 Os
0.500 0.500 0.000 Si
```



# 4
Compound: YCrTeS2
Source: the Alexandria database
Functional: GGA-PBEsol
Structure: relaxed

Calculated density   4.3 g cm⁻³
ΔE_f (raw)   1.96 eV per formula unit
Space-group type   P4/mmm, No. 123

Cell and atoms, written as POSCAR:
```
YCrTeS2
1.0
-1.284 4.173 -2.143
1.566 -1.853 -4.547
-4.718 -1.890 -0.854
Y Cr S Te
1 1 2 1
direct
0.500 0.500 0.500 Y
0.500 0.000 0.000 Cr
0.000 0.000 0.500 S
0.000 0.500 0.000 S
0.000 0.000 0.000 Te
```



# 5
Compound: YMnOs2
Source: the Alexandria database
Functional: GGA-PBEsol
Structure: relaxed

Calculated density   13.7 g cm⁻³
Excess energy over the best structure of this formula in the dataset   19.0 kJ per mole of atoms
Energy relative to the elements   0.59 eV per atom
Space-group type   R3m, No. 160

Cell and atoms, written as POSCAR:
```
YMnOs2
1.0
-0.427 0.689 2.691
0.533 -1.868 2.030
8.794 2.745 2.160
Mn Os Y
1 2 1
direct
0.259 0.259 0.224 Mn
0.000 0.000 0.001 Os
0.740 0.740 0.779 Os
0.501 0.501 0.496 Y
```



# 6
Compound: TlCoRe
Source: the Alexandria database
Functional: GGA-PBEsol
Structure: relaxed

Calculated density   13.5 g cm⁻³
Energy relative to the elements   1.77 eV per atom
Space-group type   F-43m, No. 216

Cell and atoms, written as POSCAR:
```
TlCoRe
1.0
4.278 0.000 0.000
2.139 3.705 0.000
2.139 1.235 3.493
Re Tl Co
1 1 1
direct
0.500 0.500 0.500 Re
0.250 0.250 0.250 Tl
0.000 0.000 0.000 Co
```



# 7
Compound: BaLi2Mn
Source: the Alexandria database
Functional: GGA-PBEsol
Structure: relaxed

Calculated density   3.2 g cm⁻³
Excess energy over the best structure of this formula in the dataset   4.0 kJ per mole of atoms
Energy relative to the elements   0.53 eV per atom
Space-group type   F-43m, No. 216

Cell and atoms, written as POSCAR:
```
BaLi2Mn
1.0
5.319 0.000 0.000
2.659 4.606 0.000
2.659 1.535 4.343
Ba Li Mn
1 2 1
direct
0.500 0.500 0.500 Ba
0.000 0.000 0.000 Li
0.750 0.750 0.750 Li
0.250 0.250 0.250 Mn
```



# 8
Compound: KReSiO2
Source: the Alexandria database
Functional: GGA-PBEsol
Structure: relaxed

Calculated density   5.3 g cm⁻³
ΔE_f (raw)   5.41 eV per formula unit
Space-group type   P4/mmm, No. 123

Cell and atoms, written as POSCAR:
```
KReSiO2
1.0
-1.376 3.196 -0.665
-3.260 -1.383 0.100
-0.339 1.300 6.953
Re K Si O
1 1 1 2
direct
0.500 0.500 0.500 Re
0.000 0.000 0.500 K
0.000 0.000 0.000 Si
0.000 0.500 0.000 O
0.500 0.000 0.000 O
```



# 9
Compound: BeP2Pb
Source: the Alexandria database
Functional: GGA-PBEsol
Structure: relaxed

Calculated density   6.4 g cm⁻³
Energy relative to the elements   0.72 eV per atom
Space-group type   Cmmm, No. 65

Cell and atoms, written as POSCAR:
```
BeP2Pb
1.0
-1.066 -2.804 2.257
0.379 -2.902 -3.426
3.946 0.241 2.162
Pb P Be
1 2 1
direct
0.500 0.000 0.000 Pb
0.000 0.500 0.000 P
0.000 0.000 0.500 P
0.500 0.500 0.500 Be
```



# 10
Compound: Nd3Co4Sn13
Source: the Alexandria database
Functional: GGA-PBEsol
Structure: relaxed

Calculated density   8.6 g cm⁻³
Energy relative to the elements   -0.43 eV per atom
Space-group type   Pm-3n, No. 223

Cell and atoms, written as POSCAR:
```
Nd3Co4Sn13
1.0
9.477 0.000 0.000
0.000 9.477 0.000
0.000 0.000 9.477
Nd Co Sn
6 8 26
direct
0.000 0.500 0.750 Nd
0.500 0.250 0.000 Nd
0.750 0.000 0.500 Nd
0.000 0.500 0.250 Nd
0.500 0.750 0.000 Nd
0.250 0.000 0.500 Nd
0.750 0.250 0.750 Co
0.250 0.750 0.250 Co
0.750 0.750 0.250 Co
0.250 0.250 0.750 Co
0.250 0.750 0.750 Co
0.750 0.250 0.250 Co
0.250 0.250 0.250 Co
0.750 0.750 0.750 Co
0.500 0.500 0.500 Sn
0.000 0.000 0.000 Sn
0.802 0.342 0.500 Sn
0.658 0.500 0.802 Sn
0.500 0.198 0.658 Sn
0.198 0.658 0.500 Sn
0.342 0.500 0.198 Sn
0.500 0.802 0.342 Sn
0.802 0.658 0.500 Sn
0.658 0.500 0.198 Sn
0.198 0.342 0.500 Sn
0.342 0.500 0.802 Sn
0.500 0.802 0.658 Sn
0.500 0.198 0.342 Sn
0.302 0.000 0.842 Sn
0.158 0.302 0.000 Sn
0.000 0.158 0.698 Sn
0.698 0.000 0.158 Sn
0.842 0.698 0.000 Sn
0.000 0.842 0.302 Sn
0.302 0.000 0.158 Sn
0.158 0.698 0.000 Sn
0.698 0.000 0.842 Sn
0.842 0.302 0.000 Sn
0.000 0.158 0.302 Sn
0.000 0.842 0.698 Sn
```



# 11
Compound: Sr2CoSe
Source: the Alexandria database
Functional: GGA-PBEsol
Structure: relaxed

Calculated density   4.5 g cm⁻³
ΔE_f (raw)   -1.72 eV per formula unit
Space-group type   R-3m, No. 166

Cell and atoms, written as POSCAR:
```
Sr2CoSe
1.0
-3.378 -2.483 0.467
-0.199 -2.704 3.231
-4.492 3.552 5.449
Co Se Sr
1 1 2
direct
0.500 0.500 0.500 Co
0.000 0.000 0.000 Se
0.252 0.252 0.244 Sr
0.748 0.748 0.756 Sr
```



# 12
Compound: Ca3FeC
Source: the Alexandria database
Functional: GGA-PBEsol
Structure: relaxed

Calculated density   2.6 g cm⁻³
Energy relative to the elements   0.64 eV per atom
Space-group type   Pm-3m, No. 221

Cell and atoms, written as POSCAR:
```
Ca3FeC
1.0
4.966 0.000 0.000
0.000 4.966 0.000
0.000 0.000 4.966
C Ca Fe
1 3 1
direct
0.000 0.000 0.000 C
0.000 0.500 0.000 Ca
0.000 0.000 0.500 Ca
0.500 0.000 0.000 Ca
0.500 0.500 0.500 Fe
```



# 13
Compound: YCrOs2
Source: the Alexandria database
Functional: GGA-PBEsol
Structure: relaxed

Calculated density   13.2 g cm⁻³
Excess energy over the best structure of this formula in the dataset   0.9 kJ per mole of atoms
Energy relative to the elements   0.39 eV per atom
Space-group type   Amm2, No. 38

Cell and atoms, written as POSCAR:
```
YCrOs2
1.0
-0.607 2.179 1.821
-3.346 0.980 -2.288
-2.724 -4.437 2.083
Cr Os Y
1 2 1
direct
0.713 0.500 0.802 Cr
0.813 0.000 0.999 Os
0.407 0.500 0.188 Os
0.067 0.000 0.511 Y
```



# 14
Compound: TbWC2
Source: the Alexandria database
Functional: GGA-PBEsol
Structure: relaxed

Calculated density   11.9 g cm⁻³
Energy relative to the elements   -0.34 eV per atom
Space-group type   Pnma, No. 62

Cell and atoms, written as POSCAR:
```
TbWC2
1.0
3.364 0.000 0.000
0.000 5.687 0.000
0.000 0.000 10.719
Tb W C
4 4 8
direct
0.750 0.415 0.637 Tb
0.750 0.915 0.863 Tb
0.250 0.585 0.363 Tb
0.250 0.085 0.137 Tb
0.750 0.095 0.390 W
0.750 0.595 0.110 W
0.250 0.905 0.610 W
0.250 0.405 0.890 W
0.750 0.339 0.252 C
0.750 0.839 0.248 C
0.250 0.661 0.748 C
0.250 0.161 0.752 C
0.750 0.778 0.516 C
0.750 0.278 0.984 C
0.250 0.222 0.484 C
0.250 0.722 0.016 C
```



# 15
Compound: Al2SbOs
Source: the Alexandria database
Functional: GGA-PBEsol
Structure: relaxed

Calculated density   8.7 g cm⁻³
ΔE_f (raw)   0.20 eV per formula unit
Space-group type   R-3m, No. 166

Cell and atoms, written as POSCAR:
```
Al2SbOs
1.0
3.064 0.000 0.000
1.532 2.653 0.000
1.532 0.884 8.622
Sb Os Al
1 1 2
direct
0.000 0.000 0.000 Sb
0.500 0.500 0.500 Os
0.236 0.236 0.291 Al
0.764 0.764 0.709 Al
```



# 16
Compound: BaSr
Source: the Alexandria database
Functional: GGA-PBEsol
Structure: relaxed

Calculated density   3.4 g cm⁻³
Excess energy over the best structure of this formula in the dataset   0.0 kJ per mole of atoms
Energy relative to the elements   0.00 eV per atom
Space-group type   Cmmm, No. 65

Cell and atoms, written as POSCAR:
```
BaSr
1.0
-2.853 2.990 -0.193
-1.860 -3.592 0.868
0.791 1.180 6.579
Sr Ba
1 1
direct
0.500 0.500 0.500 Sr
0.000 0.000 0.000 Ba
```



# 17
Compound: BaSrCaMoO6
Source: the Alexandria database
Functional: GGA-PBEsol
Structure: relaxed

Calculated density   5.3 g cm⁻³
ΔE_f (raw)   -26.97 eV per formula unit
Space-group type   F-43m, No. 216

Cell and atoms, written as POSCAR:
```
BaSrCaMoO6
1.0
-2.241 -3.073 -4.461
0.969 -5.770 -0.364
-4.384 -3.774 0.951
Ba Sr Ca Mo O
1 1 1 1 6
direct
0.750 0.750 0.750 Ba
0.250 0.250 0.250 Sr
0.500 0.500 0.500 Ca
0.000 0.000 0.000 Mo
0.770 0.230 0.770 O
0.770 0.770 0.230 O
0.770 0.230 0.230 O
0.230 0.770 0.230 O
0.230 0.230 0.770 O
0.230 0.770 0.770 O
```



# 18
Compound: Lu3Sn
Source: the Alexandria database
Functional: GGA-PBEsol
Structure: relaxed

Calculated density   10.6 g cm⁻³
Energy relative to the elements   -0.41 eV per atom
Space-group type   I4/mmm, No. 139

Cell and atoms, written as POSCAR:
```
Lu3Sn
1.0
4.481 0.000 0.000
0.000 4.481 0.000
-2.241 -2.241 5.021
Lu Sn
3 1
direct
0.250 0.750 0.500 Lu
0.750 0.250 0.500 Lu
0.500 0.500 0.000 Lu
0.000 0.000 0.000 Sn
```



# 19
Compound: MnRu2
Source: the Alexandria database
Functional: GGA-PBEsol
Structure: relaxed

Calculated density   11.5 g cm⁻³
Energy relative to the elements   0.03 eV per atom
Space-group type   Cm, No. 8

Cell and atoms, written as POSCAR:
```
MnRu2
1.0
2.641 0.000 0.000
-1.320 4.712 0.000
0.000 -1.410 5.969
Mn Ru
2 4
direct
0.001 0.001 0.004 Mn
0.665 0.330 0.329 Mn
0.390 0.780 0.273 Ru
0.058 0.116 0.607 Ru
0.335 0.670 0.669 Ru
0.718 0.435 0.951 Ru
```



# 20
Compound: CrRe3
Source: the Alexandria database
Functional: GGA-PBEsol
Structure: relaxed

Calculated density   18.1 g cm⁻³
Energy relative to the elements   0.22 eV per atom
Space-group type   R-3m, No. 166

Cell and atoms, written as POSCAR:
```
CrRe3
1.0
2.647 0.000 0.000
-0.882 4.941 0.000
-0.882 -2.470 4.279
Cr Re
1 3
direct
0.000 0.000 0.000 Cr
0.000 0.500 0.500 Re
0.500 0.000 0.500 Re
0.500 0.500 0.000 Re
```